Compound: NdTm3Al2
Source: the Alexandria database
Functional: PBE
Structure: optimized geometry

Results
- Space-group type: C2/m (12)
- Calculated density: 7.3 g/cm³
- Density of states at the Fermi level: 0.963 states/eV/atom
- Calculated total energy: -53.58 eV for the cell shown
- Total moment: 0.2 μB per formula unit

Cell: 5.201 8.973 8.895 Å, 124.76 90.00 106.85°
Site moments in Bohr magnetons follow the coordinates.
Positions (direct):
Tm (0.312, 0.625, 0.614)  0.01
Tm (0.688, 0.375, 0.386)  0.01
Tm (0.062, 0.124, 0.408)  0.08
Tm (0.617, 0.233, 0.702)  0.06
Tm (0.938, 0.876, 0.592)  0.08
Tm (0.383, 0.767, 0.298)  0.06
Al (0.231, 0.461, 0.859)  0.00
Al (0.769, 0.539, 0.141)  0.00
Al (0.479, 0.958, 0.117)  0.00
Al (0.521, 0.042, 0.883)  0.00
Nd (0.868, 0.736, 0.917)  0.00
Nd (0.132, 0.264, 0.083)  0.00